(1)
# ReAgGe2Se (PBE-GGA, optimized geometry)
# Magnetic moment ... 1.454 Bohr magnetons per cell
# Formation energy (no corrections) ... 1292 meV/atom
# Crystal system ... tetragonal
data_ReAgGe2Se
_cell_length_a 5.181
_cell_length_b 5.181
_cell_length_c 4.574
_cell_angle_alpha 90.00
_cell_angle_beta 90.00
_cell_angle_gamma 90.00
_space_group_name_H-M_alt 'P 4/m m m'
_space_group_IT_number 123
_space_group_name_Hall '-P 4 2'
loop_
_atom_site_label
_atom_site_fract_x
_atom_site_fract_y
_atom_site_fract_z
Re1 0.000 0.000 0.000
Ag1 0.500 0.500 0.000
Ge1 0.000 0.500 0.500
Se1 0.000 0.000 0.500

---

(2)
# FeHRh2 (PBE-GGA, optimized geometry)
# Magnetic moment ... 10.789 Bohr magnetons per cell
# Crystal system ... trigonal
# Energy ... -79.5 eV for the cell shown
data_FeHRh2
_cell_length_a 2.7572
_cell_length_b 2.7572
_cell_length_c 19.7888
_cell_angle_alpha 90.00
_cell_angle_beta 90.00
_cell_angle_gamma 120.00
_space_group_name_H-M_alt 'R -3 m'
_space_group_IT_number 166
_space_group_name_Hall '-R 3 2"'
loop_
_atom_site_label
_atom_site_fract_x
_atom_site_fract_y
_atom_site_fract_z
Fe1 0.0000 0.0000 0.0000
H1 0.0000 0.0000 0.5000
Rh1 0.0000 0.0000 0.2288

---

(3)
# LiScPaMo (PBE-GGA, optimized geometry)
# Formation energy ... 0.128 eV/atom
# Magnetic moment ... 0.000 Bohr magnetons per cell
# Crystal system ... cubic
data_LiScPaMo
_cell_length_a 6.791
_cell_length_b 6.791
_cell_length_c 6.791
_cell_angle_alpha 90.00
_cell_angle_beta 90.00
_cell_angle_gamma 90.00
_space_group_name_H-M_alt 'F -4 3 m'
_space_group_IT_number 216
_space_group_name_Hall 'F -4 2 3'
loop_
_atom_site_label
_atom_site_fract_x
_atom_site_fract_y
_atom_site_fract_z
Li1 0.000 0.000 0.000
Sc1 0.250 0.250 0.250
Pa1 0.250 0.250 0.750
Mo1 0.000 0.000 0.500

---

(4)
# Ba2Cd5In (PBE-GGA, optimized geometry)
# Formation energy ... -0.305 eV/atom
# Magnetic moment ... 0.000 Bohr magnetons per cell
# Crystal system ... orthorhombic
data_Ba2Cd5In
_cell_length_a 5.175
_cell_length_b 18.589
_cell_length_c 10.337
_cell_angle_alpha 90.00
_cell_angle_beta 90.00
_cell_angle_gamma 90.00
_space_group_name_H-M_alt 'C m c m'
_space_group_IT_number 63
_space_group_name_Hall '-C 2c 2'
loop_
_atom_site_label
_atom_site_fract_x
_atom_site_fract_y
_atom_site_fract_z
Ba1 0.000 0.000 0.000
Ba2 0.000 0.204 0.250
Cd1 0.000 0.186 0.607
Cd2 0.000 0.348 0.520
Cd3 0.000 0.403 0.250
In1 0.000 0.441 0.750

---

(5)
# Sm4Ho2Tl3O2 (PBE-GGA, optimized geometry)
# Magnetic moment ... 0.000 Bohr magnetons per cell
# Formation energy (no corrections) ... -1202 meV/atom
# Crystal system ... tetragonal
data_Sm4Ho2Tl3O2
_cell_length_a 4.785
_cell_length_b 4.785
_cell_length_c 25.030
_cell_angle_alpha 90.00
_cell_angle_beta 90.00
_cell_angle_gamma 90.00
_space_group_name_H-M_alt 'I 4/m m m'
_space_group_IT_number 139
_space_group_name_Hall '-I 4 2'
loop_
_atom_site_label
_atom_site_fract_x
_atom_site_fract_y
_atom_site_fract_z
Sm1 0.000 0.500 0.087
Ho1 0.000 0.000 0.197
Tl1 0.000 0.000 0.322
Tl2 0.000 0.000 0.500
O1 0.000 0.000 0.106

---

(6)
# CrCuSi (PBE-GGA, optimized geometry)
# Magnetic moment ... 2.253 Bohr magnetons per cell
# Formation energy (no corrections) ... 165 meV/atom
# Crystal system ... tetragonal
data_CrCuSi
_cell_length_a 2.583
_cell_length_b 2.583
_cell_length_c 10.941
_cell_angle_alpha 90.00
_cell_angle_beta 90.00
_cell_angle_gamma 90.00
_space_group_name_H-M_alt 'I 4 m m'
_space_group_IT_number 107
_space_group_name_Hall 'I 4 -2'
loop_
_atom_site_label
_atom_site_fract_x
_atom_site_fract_y
_atom_site_fract_z
Cr1 0.000 0.000 0.000
Cu1 0.000 0.000 0.323
Si1 0.000 0.000 0.657

---

(7)
# CrAgCl2 (PBE-GGA, optimized geometry)
# Magnetic moment ... 11.817 Bohr magnetons per cell
# Formation energy (no corrections) ... -350 meV/atom
# Crystal system ... trigonal
data_CrAgCl2
_cell_length_a 3.3965
_cell_length_b 3.3965
_cell_length_c 29.7685
_cell_angle_alpha 90.00
_cell_angle_beta 90.00
_cell_angle_gamma 120.00
_space_group_name_H-M_alt 'R -3 m'
_space_group_IT_number 166
_space_group_name_Hall '-R 3 2"'
loop_
_atom_site_label
_atom_site_fract_x
_atom_site_fract_y
_atom_site_fract_z
Cr1 0.0000 0.0000 0.0000
Ag1 0.0000 0.0000 0.5000
Cl1 0.0000 0.0000 0.2833

---

(8)
# TbPm2DyHo6 (PBE-GGA, optimized geometry)
# Formation energy ... 0.118 eV/atom
# Magnetic moment ... 0.000 Bohr magnetons per cell
# Crystal system ... monoclinic
data_TbPm2DyHo6
_cell_length_a 8.996
_cell_length_b 15.000
_cell_length_c 9.658
_cell_angle_alpha 90.00
_cell_angle_beta 98.92
_cell_angle_gamma 90.00
_space_group_name_H-M_alt 'C 1 2/c 1'
_space_group_IT_number 15
loop_
_space_group_symop_operation_xyz
'x,y,z'
'-x,-y,-z'
'-x,y,-z+1/2'
'x,-y,z+1/2'
'x+1/2,y+1/2,z'
'-x+1/2,-y+1/2,-z'
'-x+1/2,y+1/2,-z+1/2'
'x+1/2,-y+1/2,z+1/2'
loop_
_atom_site_label
_atom_site_fract_x
_atom_site_fract_y
_atom_site_fract_z
Tb1 0.000 0.019 0.250
Pm1 0.245 0.052 0.542
Dy1 0.000 0.407 0.750
Ho1 0.066 0.190 0.943
Ho2 0.102 0.394 0.120
Ho3 0.202 0.224 0.314